An optimized crystal structure of Ca2Nd12Dy5, computed with PBE.

a = 9.7188 Å, b = 9.7188 Å, c = 7.9603 Å
α = 90.36°, β = 90.36°, γ = 63.89°
Positions (direct):
Ca: 0.2100 0.7900 0.0000
Ca: 0.7900 0.2100 0.0000
Nd: 0.0394 0.5659 0.7957
Nd: 0.1620 0.6265 0.3921
Nd: 0.1689 0.1689 0.8788
Nd: 0.3735 0.8380 0.6079
Nd: 0.4341 0.9606 0.2043
Nd: 0.4467 0.4467 0.7013
Nd: 0.5533 0.5533 0.2987
Nd: 0.5659 0.0394 0.7957
Nd: 0.6265 0.1620 0.3921
Nd: 0.8311 0.8311 0.1212
Nd: 0.8380 0.3735 0.6079
Nd: 0.9606 0.4341 0.2043
Dy: 0.0000 0.0000 0.5000
Dy: 0.2472 0.2472 0.4999
Dy: 0.3511 0.3511 0.0927
Dy: 0.6489 0.6489 0.9073
Dy: 0.7528 0.7528 0.5001

Properties
Volume (Å³ per cell): 675.2
E (eV/f.u.): -81.687
Magnetization (μB/cell): 0.0



An optimized crystal structure of CaNd3Dy6, computed with PBE.

a = 9.6816 Å, b = 9.6816 Å, c = 5.9627 Å
α = 102.39°, β = 102.39°, γ = 41.80°
Positions (direct):
Ca: 0.0000 0.0000 0.0000
Nd: 0.1467 0.1467 0.6021
Nd: 0.5000 0.5000 0.5000
Nd: 0.8533 0.8533 0.3979
Dy: 0.0917 0.5687 0.8935
Dy: 0.3141 0.3141 0.3937
Dy: 0.4313 0.9083 0.1065
Dy: 0.5687 0.0917 0.8935
Dy: 0.6859 0.6859 0.6063
Dy: 0.9083 0.4313 0.1065

Properties
Volume (Å³ per cell): 362.6
E (eV/f.u.): -41.498
Magnetization (μB/cell): 0.0



Let's list energy relative to the elements in order: 0.1337; 0.2420 eV/atom.
Let's list D(E_F) in order: 1.289; 1.360 states/eV/atom.